# NbZnFeBi (PBE, relaxed)
# E_tot   -86.6 eV for the cell shown
# Calculated volume   17.8 A^3/atom
# Crystal system   cubic
# Magnetization   0.63 μB per atom
# Excess energy over the best structure of this formula in the dataset   51 meV/atom
data_NbZnFeBi
_space_group_name_H-M_alt 'F -4 3 m'
_space_group_IT_number 216
_space_group_name_Hall 'F -4 2 3'
_cell_length_a 6.584
_cell_length_b 6.584
_cell_length_c 6.584
_cell_angle_alpha 90.00
_cell_angle_beta 90.00
_cell_angle_gamma 90.00
loop_
_atom_site_label
_atom_site_type_symbol
_atom_site_fract_x
_atom_site_fract_y
_atom_site_fract_z
_atom_site_occupancy
Nb1 Nb 0.000 0.000 0.000 1
Zn1 Zn 0.250 0.250 0.750 1
Fe1 Fe 0.000 0.000 0.500 1
Bi1 Bi 0.250 0.250 0.250 1

# Cu2Ge4As (PBE, relaxed)
# E_tot   -57.5 eV for the cell shown
# Calculated volume   18.0 A^3/atom
# Crystal system   monoclinic
data_Cu2Ge4As
_space_group_name_H-M_alt 'C 1 2/m 1'
_space_group_IT_number 12
_cell_length_a 6.852
_cell_length_b 9.971
_cell_length_c 3.680
_cell_angle_alpha 90.00
_cell_angle_beta 90.25
_cell_angle_gamma 90.00
loop_
_space_group_symop_operation_xyz
'x,y,z'
'-x,-y,-z'
'-x,y,-z'
'x,-y,z'
'x+1/2,y+1/2,z'
'-x+1/2,-y+1/2,-z'
'-x+1/2,y+1/2,-z'
'x+1/2,-y+1/2,z'
loop_
_atom_site_label
_atom_site_type_symbol
_atom_site_fract_x
_atom_site_fract_y
_atom_site_fract_z
_atom_site_occupancy
Cu1 Cu 0.250 0.250 0.000 1
Ge1 Ge 0.000 0.225 0.500 1
Ge2 Ge 0.205 0.000 0.998 1
As1 As 0.000 0.500 0.500 1

# KAgH2C2N2O (PBE, relaxed)
# E_tot   -317.6 eV for the cell shown
# Calculated volume   16.3 A^3/atom
# Crystal system   trigonal
data_KAgH2C2N2O
_space_group_name_H-M_alt 'P -3 1 c'
_space_group_IT_number 163
_space_group_name_Hall '-P 3 2c'
_cell_length_a 7.7707
_cell_length_b 7.7707
_cell_length_c 16.8217
_cell_angle_alpha 90.00
_cell_angle_beta 90.00
_cell_angle_gamma 120.00
loop_
_atom_site_label
_atom_site_type_symbol
_atom_site_fract_x
_atom_site_fract_y
_atom_site_fract_z
_atom_site_occupancy
K1 K 0.0000 0.0000 0.0000 1
K2 K 0.3333 0.6667 0.0129 1
Ag1 Ag 0.1291 0.2581 0.2500 1
H1 H 0.1419 0.5264 0.7932 1
C1 C 0.0421 0.2837 0.3647 1
N1 N 0.0257 0.3429 0.9213 1
O1 O 0.0600 0.5300 0.7500 1

# Ho2TmAl3CuAu2 (PBE, relaxed)
# E_tot   -82.9 eV for the cell shown
# Calculated volume   20.1 A^3/atom
# Crystal system   orthorhombic
# Magnetization   0.00 μB per atom
data_Ho2TmAl3CuAu2
_space_group_name_H-M_alt 'A m m 2'
_space_group_IT_number 38
_cell_length_a 3.995
_cell_length_b 12.506
_cell_length_c 7.224
_cell_angle_alpha 90.00
_cell_angle_beta 90.00
_cell_angle_gamma 90.00
loop_
_space_group_symop_operation_xyz
'x,y,z'
'-x,-y,z'
'-x,y,z'
'x,-y,z'
'x,y+1/2,z+1/2'
'-x,-y+1/2,z+1/2'
'-x,y+1/2,z+1/2'
'x,-y+1/2,z+1/2'
loop_
_atom_site_label
_atom_site_type_symbol
_atom_site_fract_x
_atom_site_fract_y
_atom_site_fract_z
_atom_site_occupancy
Ho1 Ho 0.000 0.204 0.000 1
Tm1 Tm 0.000 0.000 0.610 1
Al1 Al 0.500 0.000 0.973 1
Al2 Al 0.500 0.115 0.320 1
Cu1 Cu 0.000 0.000 0.206 1
Au1 Au 0.500 0.165 0.703 1

# AgS4 (PBE, relaxed)
# E_tot   -37.4 eV for the cell shown
# Calculated volume   25.8 A^3/atom
# Crystal system   triclinic
data_AgS4
_space_group_name_H-M_alt 'P 1'
_space_group_IT_number 1
_cell_length_a 4.036
_cell_length_b 7.880
_cell_length_c 9.078
_cell_angle_alpha 104.58
_cell_angle_beta 102.36
_cell_angle_gamma 104.83
loop_
_space_group_symop_operation_xyz
'x,y,z'
loop_
_atom_site_label
_atom_site_type_symbol
_atom_site_fract_x
_atom_site_fract_y
_atom_site_fract_z
_atom_site_occupancy
Ag1 Ag 0.000 0.000 0.000 1
Ag2 Ag 0.089 0.490 0.498 1
S1 S 0.048 0.969 0.605 1
S2 S 0.133 0.011 0.389 1
S3 S 0.371 0.521 0.889 1
S4 S 0.415 0.789 0.967 1
S5 S 0.433 0.279 0.468 1
S6 S 0.597 0.214 0.053 1
S7 S 0.622 0.480 0.106 1
S8 S 0.757 0.703 0.551 1

# Tb2TmMg3Pd2Au (PBE, relaxed)
# E_tot   -76.3 eV for the cell shown
# Calculated volume   21.9 A^3/atom
# Crystal system   orthorhombic
# Magnetization   0.00 μB per atom
data_Tb2TmMg3Pd2Au
_space_group_name_H-M_alt 'A m m 2'
_space_group_IT_number 38
_cell_length_a 4.095
_cell_length_b 12.891
_cell_length_c 7.473
_cell_angle_alpha 90.00
_cell_angle_beta 90.00
_cell_angle_gamma 90.00
loop_
_space_group_symop_operation_xyz
'x,y,z'
'-x,-y,z'
'-x,y,z'
'x,-y,z'
'x,y+1/2,z+1/2'
'-x,-y+1/2,z+1/2'
'-x,y+1/2,z+1/2'
'x,-y+1/2,z+1/2'
loop_
_atom_site_label
_atom_site_type_symbol
_atom_site_fract_x
_atom_site_fract_y
_atom_site_fract_z
_atom_site_occupancy
Tb1 Tb 0.000 0.207 0.000 1
Tm1 Tm 0.000 0.000 0.381 1
Mg1 Mg 0.500 0.000 0.043 1
Mg2 Mg 0.500 0.125 0.668 1
Pd1 Pd 0.500 0.164 0.295 1
Au1 Au 0.000 0.000 0.790 1

# Lu3In3Pt2Au (PBE, relaxed)
# E_tot   -45.2 eV for the cell shown
# Calculated volume   21.3 A^3/atom
# Crystal system   hexagonal
# Magnetization   0.00 μB per atom
data_Lu3In3Pt2Au
_space_group_name_H-M_alt 'P -6 2 m'
_space_group_IT_number 189
_space_group_name_Hall 'P -6 -2'
_cell_length_a 7.7074
_cell_length_b 7.7074
_cell_length_c 3.7240
_cell_angle_alpha 90.00
_cell_angle_beta 90.00
_cell_angle_gamma 120.00
loop_
_atom_site_label
_atom_site_type_symbol
_atom_site_fract_x
_atom_site_fract_y
_atom_site_fract_z
_atom_site_occupancy
Lu1 Lu 0.0000 0.4056 0.0000 1
In1 In 0.0000 0.7284 0.5000 1
Pt1 Pt 0.3333 0.6667 0.5000 1
Au1 Au 0.0000 0.0000 0.0000 1

# PmPrSm (PBE, relaxed)
# Energy of formation from the pure elements   0.697 eV/atom
# E_tot   -48.6 eV for the cell shown
# Calculated volume   40.3 A^3/atom
# Crystal system   cubic
# Magnetization   0.01 μB per atom
# Excess energy over the best structure of this formula in the dataset   0 meV/atom
data_PmPrSm
_space_group_name_H-M_alt 'F -4 3 m'
_space_group_IT_number 216
_space_group_name_Hall 'F -4 2 3'
_cell_length_a 7.850
_cell_length_b 7.850
_cell_length_c 7.850
_cell_angle_alpha 90.00
_cell_angle_beta 90.00
_cell_angle_gamma 90.00
loop_
_atom_site_label
_atom_site_type_symbol
_atom_site_fract_x
_atom_site_fract_y
_atom_site_fract_z
_atom_site_occupancy
Pm1 Pm 0.000 0.000 0.000 1
Pr1 Pr 0.000 0.000 0.500 1
Sm1 Sm 0.250 0.250 0.250 1

# NbI2Cl3 (PBE, relaxed)
# E_tot   -48.2 eV for the cell shown
# Calculated volume   36.2 A^3/atom
# Crystal system   triclinic
# Magnetization   0.00 μB per atom
# Excess energy over the best structure of this formula in the dataset   0 meV/atom
data_NbI2Cl3
_space_group_name_H-M_alt 'P -1'
_space_group_IT_number 2
_cell_length_a 6.727
_cell_length_b 7.290
_cell_length_c 10.181
_cell_angle_alpha 107.87
_cell_angle_beta 92.01
_cell_angle_gamma 112.05
loop_
_space_group_symop_operation_xyz
'x,y,z'
'-x,-y,-z'
loop_
_atom_site_label
_atom_site_type_symbol
_atom_site_fract_x
_atom_site_fract_y
_atom_site_fract_z
_atom_site_occupancy
Nb1 Nb 0.103 0.224 0.227 1
I1 I 0.246 0.183 0.953 1
I2 I 0.449 0.585 0.333 1
Cl1 Cl 0.067 0.818 0.584 1
Cl2 Cl 0.115 0.627 0.841 1
Cl3 Cl 0.291 0.019 0.252 1

# TlNiPtW (PBE, relaxed)
# E_tot   -100.1 eV for the cell shown
# Calculated volume   16.2 A^3/atom
# Crystal system   cubic
# Magnetization   0.03 μB per atom
data_TlNiPtW
_space_group_name_H-M_alt 'F -4 3 m'
_space_group_IT_number 216
_space_group_name_Hall 'F -4 2 3'
_cell_length_a 6.380
_cell_length_b 6.380
_cell_length_c 6.380
_cell_angle_alpha 90.00
_cell_angle_beta 90.00
_cell_angle_gamma 90.00
loop_
_atom_site_label
_atom_site_type_symbol
_atom_site_fract_x
_atom_site_fract_y
_atom_site_fract_z
_atom_site_occupancy
Tl1 Tl 0.000 0.000 0.000 1
Ni1 Ni 0.250 0.250 0.250 1
Pt1 Pt 0.250 0.250 0.750 1
W1 W 0.000 0.000 0.500 1

# Li3PrSb2 (PBE, relaxed)
# E_tot   -23.8 eV for the cell shown
# Calculated volume   22.2 A^3/atom
# Crystal system   trigonal
# Magnetization   0.00 μB per atom
data_Li3PrSb2
_space_group_name_H-M_alt 'P -3 m 1'
_space_group_IT_number 164
_space_group_name_Hall '-P 3 2"'
_cell_length_a 4.5855
_cell_length_b 4.5855
_cell_length_c 7.2998
_cell_angle_alpha 90.00
_cell_angle_beta 90.00
_cell_angle_gamma 120.00
loop_
_atom_site_label
_atom_site_type_symbol
_atom_site_fract_x
_atom_site_fract_y
_atom_site_fract_z
_atom_site_occupancy
Li1 Li 0.0000 0.0000 0.0000 1
Li2 Li 0.3333 0.6667 0.1473 1
Pr1 Pr 0.0000 0.0000 0.5000 1
Sb1 Sb 0.3333 0.6667 0.7580 1

# TbTmAl3Si2 (PBE, relaxed)
# E_tot   -69.9 eV for the cell shown
# Calculated volume   18.9 A^3/atom
# Crystal system   monoclinic
# Magnetization   0.00 μB per atom
data_TbTmAl3Si2
_space_group_name_H-M_alt 'C 1 m 1'
_space_group_IT_number 8
_cell_length_a 10.136
_cell_length_b 4.037
_cell_length_c 6.597
_cell_angle_alpha 90.00
_cell_angle_beta 100.90
_cell_angle_gamma 90.00
loop_
_space_group_symop_operation_xyz
'x,y,z'
'x,-y,z'
'x+1/2,y+1/2,z'
'x+1/2,-y+1/2,z'
loop_
_atom_site_label
_atom_site_type_symbol
_atom_site_fract_x
_atom_site_fract_y
_atom_site_fract_z
_atom_site_occupancy
Tb1 Tb 0.000 0.000 0.000 1
Tm1 Tm 0.261 0.500 0.355 1
Al1 Al 0.076 0.000 0.543 1
Al2 Al 0.186 0.500 0.809 1
Al3 Al 0.379 0.000 0.676 1
Si1 Si 0.287 0.000 0.039 1
Si2 Si 0.474 0.000 0.319 1